Entry 1:
SnSe2O after structural relaxation. Source: Alexandria, functional PBE.

Cell: 4.0648 4.0648 21.2280 Å, 90.00 90.00 120.00°
Space group R-3m (No. 166, hexagonal axes)
Asymmetric unit:
Sn 0.0000 0.0000 0.0000 x3
Se 0.0000 0.0000 0.4097 x6
O 0.0000 0.0000 0.5000 x3

Computed properties:
Energy, eV per atom: -4.0572
E above lowest polymorph, meV/atom: 0

---

Entry 2:
SnSe2O after structural relaxation. Source: Alexandria, functional PBE.

Cell: 3.1110 3.1110 27.1762 Å, 90.00 90.00 120.00°
Space group R-3m (No. 166, hexagonal axes)
Asymmetric unit:
Sn 0.0000 0.0000 0.0000 x3
Se 0.0000 0.0000 0.1057 x6
O 0.0000 0.0000 0.5000 x3

Computed properties:
Energy, eV per atom: -3.5339
E above lowest polymorph, meV/atom: 523

---

Entry 3:
SnSe2O8 after structural relaxation. Source: Alexandria, functional PBE.

Cell: 5.5106 5.5106 6.6509 Å, 90.00 90.00 120.00°
Space group P-3m1 (No. 164)
Asymmetric unit:
Sn 0.0000 0.0000 0.0000 x1
Se 0.3333 0.6667 0.2801 x2
O 0.1681 0.3362 0.1923 x6
O 0.3333 0.6667 0.5225 x2

Computed properties:
Energy, eV per atom: -5.2917

---

Entry 4:
Sn3Se2O after structural relaxation. Source: Alexandria, functional PBE.

Cell: 6.604 13.129 7.592 Å, 90.00 110.91 90.00°
Space group C2/c (No. 15)
Asymmetric unit:
Sn 0.194 0.082 0.080 x8
Sn 0.250 0.250 0.500 x4
Se 0.000 0.265 0.750 x4
Se 0.000 0.426 0.250 x4
O 0.000 0.135 0.250 x4

Computed properties:
Energy, eV per atom: -4.5574

---

Entry 5:
SnSe2O6 after structural relaxation. Source: Alexandria, functional PBE.

Cell: 4.913 8.718 7.224 Å, 90.00 112.12 90.00°
Space group P2_1/c (No. 14)
Asymmetric unit:
Sn 0.000 0.000 0.000 x2
Se 0.362 0.156 0.696 x4
O 0.084 0.070 0.749 x4
O 0.285 0.150 0.208 x4
O 0.342 0.658 0.574 x4

Computed properties:
Energy, eV per atom: -5.5668
E above lowest polymorph, meV/atom: 3

---

Entry 6:
Sn6Se5O after structural relaxation. Source: Alexandria, functional PBE.

Cell: 7.075 12.924 7.519 Å, 90.00 110.05 90.00°
Space group C2/m (No. 12)
Asymmetric unit:
Sn 0.190 0.000 0.323 x4
Sn 0.240 0.337 0.238 x8
Se 0.000 0.181 0.000 x4
Se 0.000 0.342 0.500 x4
Se 0.000 0.500 0.000 x2
O 0.000 0.000 0.500 x2

Computed properties:
Energy, eV per atom: -4.3346

---

Entry 7:
Sr2SnSe2O2 after structural relaxation. Source: Alexandria, functional PBE.

Cell: 12.341 3.986 7.355 Å, 90.00 120.75 90.00°
Space group C2/m (No. 12)
Asymmetric unit:
Sr 0.194 0.000 0.244 x4
Sn 0.000 0.000 0.500 x2
Se 0.053 0.500 0.803 x4
O 0.183 0.000 0.575 x4

Computed properties:
Energy, eV per atom: -5.3368

---

Entry 8:
TcSn2SeO after structural relaxation. Source: Alexandria, functional PBE.

Cell: 5.191 5.191 4.566 Å, 90.00 90.00 90.00°
Space group P4/mmm (No. 123)
Asymmetric unit:
Tc 0.000 0.000 0.000 x1
Sn 0.000 0.500 0.000 x2
Se 0.000 0.000 0.500 x1
O 0.500 0.500 0.500 x1

Computed properties:
Energy, eV per atom: -5.0267

---

Entry 9:
TlSnSe2O8 after structural relaxation. Source: Alexandria, functional PBE.

Cell: 8.949 5.791 8.564 Å, 90.00 93.74 90.00°
Space group C2/m (No. 12)
Asymmetric unit:
Tl 0.000 0.000 0.000 x2
Sn 0.000 0.000 0.500 x2
Se 0.131 0.500 0.297 x4
O 0.021 0.258 0.317 x8
O 0.201 0.500 0.123 x4
O 0.241 0.000 0.548 x4

Computed properties:
Energy, eV per atom: -5.2384

---

Entry 10:
TlSnSeO2 after structural relaxation. Source: Alexandria, functional PBE.

Cell: 4.128 4.128 8.202 Å, 90.00 90.00 90.00°
Space group P4/mmm (No. 123)
Asymmetric unit:
Tl 0.000 0.000 0.000 x1
Sn 0.000 0.000 0.500 x1
Se 0.500 0.500 0.500 x1
O 0.000 0.500 0.000 x2

Computed properties:
Energy, eV per atom: -3.8072

---

Entry 11:
YSn2SeO after structural relaxation. Source: Alexandria, functional PBE.

Cell: 5.034 5.034 4.579 Å, 90.00 90.00 90.00°
Space group P4/mmm (No. 123)
Asymmetric unit:
Y 0.000 0.000 0.000 x1
Sn 0.000 0.500 0.500 x2
Se 0.500 0.500 0.000 x1
O 0.000 0.000 0.500 x1

Computed properties:
Energy, eV per atom: -5.3529

---

Entry 12:
ZrSnSeO2 after structural relaxation. Source: Alexandria, functional PBE.

Cell: 4.068 4.068 6.824 Å, 90.00 90.00 90.00°
Space group P4/mmm (No. 123)
Asymmetric unit:
Zr 0.000 0.000 0.000 x1
Sn 0.000 0.000 0.500 x1
Se 0.500 0.500 0.500 x1
O 0.000 0.500 0.000 x2

Computed properties:
Energy, eV per atom: -6.5733

---

Number 1: volume 303.7 Å³/cell. Number 2: volume 227.8 Å³/cell. Number 3: volume 174.9 Å³/cell. Number 4: volume 614.9 Å³/cell. Number 5: volume 286.7 Å³/cell. Number 6: volume 645.9 Å³/cell. Number 7: volume 311.0 Å³/cell. Number 8: volume 123.0 Å³/cell. Number 9: volume 442.9 Å³/cell. Number 10: volume 139.8 Å³/cell. Number 11: volume 116.0 Å³/cell. Number 12: volume 112.9 Å³/cell.